Entry 1:
Crystalline SmTmCuRu at its relaxed geometry. Source: Alexandria, functional GGA-PBE.

Total magnetic moment in μB/f.u.: 0.00
D(E_F) in states/eV/f.u.: 3.28
Space-group type: F-43m (216)
Energy relative to the elements in eV per formula unit: -1.19
E in hartree per atom: -0.218

Geometry as extended XYZ:
```
4
Lattice="4.8753 0.0000 0.0000 2.4377 4.2222 0.0000 2.4377 1.4074 3.9807" Properties=species:S:1:pos:R:3 pbc="T T T"
Tm 7.3130 4.2222 2.9855
Cu 0.0000 0.0000 0.0000
Ru 4.8753 2.8148 1.9904
Sm 2.4377 1.4074 0.9952
```

Entry 2:
Crystalline Sm2Zn12Cu3Ru at its relaxed geometry. Source: Alexandria, functional GGA-PBE.

Total magnetic moment in μB/f.u.: 0.00
D(E_F) in states/eV/f.u.: 7.72
Space-group type: R-3m (166)
Energy relative to the elements in eV per formula unit: -0.58
E in hartree per atom: -0.096

Geometry as extended XYZ:
```
18
Lattice="11.6888 3.6242 2.5706 8.9239 8.3741 2.5706 8.9239 5.1945 7.0534" Properties=species:S:1:pos:R:3 pbc="T T T"
Zn 17.1866 8.5014 6.0300
Zn 7.6911 6.0753 2.6155
Zn 12.3500 8.6913 6.1647
Sm 19.0502 11.0888 7.8652
Cu 4.4620 4.1870 1.2853
Zn 20.4556 13.5053 9.5792
Zn 15.8800 10.7461 6.0300
Zn 13.6566 6.4467 6.1647
Cu 5.8444 1.8121 1.2853
Zn 21.8455 11.1174 9.5792
Zn 13.6566 7.9493 4.0462
Zn 9.0811 3.6875 2.6155
Zn 21.8455 12.7159 7.3256
Ru 0.0000 0.0000 0.0000
Zn 7.6911 4.4769 4.8691
Sm 10.4864 6.1039 4.3295
Zn 15.8800 9.2435 8.1484
Cu 4.4620 2.5972 3.5267
```

Entry 3:
Crystalline Sm4ZnCu2Ru at its relaxed geometry. Source: Alexandria, functional GGA-PBE.

Total magnetic moment in μB/f.u.: 0.00
D(E_F) in states/eV/f.u.: 5.17
Space-group type: R-3m (166)
Energy relative to the elements in eV per formula unit: -1.99
E in hartree per atom: -0.182

Geometry as extended XYZ:
```
8
Lattice="5.0461 0.0000 0.0000 2.5230 4.3700 0.0000 2.5230 1.4567 8.1630" Properties=species:S:1:pos:R:3 pbc="T T T"
Sm 2.5230 1.4567 4.9845
Sm 5.0461 2.9134 1.1548
Ru 5.0461 2.9134 4.0815
Sm 7.5691 4.3700 3.1785
Cu 2.5230 1.4567 1.8956
Zn 0.0000 0.0000 0.0000
Cu 7.5691 4.3700 6.2675
Sm 5.0461 2.9134 7.0082
```

Entry 4:
Crystalline SmZrCuRu at its relaxed geometry. Source: Alexandria, functional GGA-PBE.

Total magnetic moment in μB/f.u.: 0.00
D(E_F) in states/eV/f.u.: 4.10
Space-group type: F-43m (216)
Energy relative to the elements in eV per formula unit: -0.82
E in hartree per atom: -0.252

Geometry as extended XYZ:
```
4
Lattice="4.7999 0.0000 0.0000 2.4000 4.1568 0.0000 2.4000 1.3856 3.9191" Properties=species:S:1:pos:R:3 pbc="T T T"
Cu 2.4000 1.3856 0.9798
Ru 7.1999 4.1568 2.9393
Zr 0.0000 0.0000 0.0000
Sm 4.7999 2.7712 1.9596
```

Copy entry 3 word for word.
Crystalline Sm4ZnCu2Ru at its relaxed geometry. Source: Alexandria, functional GGA-PBE.

Total magnetic moment in μB/f.u.: 0.00
D(E_F) in states/eV/f.u.: 5.17
Space-group type: R-3m (166)
Energy relative to the elements in eV per formula unit: -1.99
E in hartree per atom: -0.182

Geometry as extended XYZ:
```
8
Lattice="5.0461 0.0000 0.0000 2.5230 4.3700 0.0000 2.5230 1.4567 8.1630" Properties=species:S:1:pos:R:3 pbc="T T T"
Sm 2.5230 1.4567 4.9845
Sm 5.0461 2.9134 1.1548
Ru 5.0461 2.9134 4.0815
Sm 7.5691 4.3700 3.1785
Cu 2.5230 1.4567 1.8956
Zn 0.0000 0.0000 0.0000
Cu 7.5691 4.3700 6.2675
Sm 5.0461 2.9134 7.0082
```

Copy entry 2 word for word.
Crystalline Sm2Zn12Cu3Ru at its relaxed geometry. Source: Alexandria, functional GGA-PBE.

Total magnetic moment in μB/f.u.: 0.00
D(E_F) in states/eV/f.u.: 7.72
Space-group type: R-3m (166)
Energy relative to the elements in eV per formula unit: -0.58
E in hartree per atom: -0.096

Geometry as extended XYZ:
```
18
Lattice="11.6888 3.6242 2.5706 8.9239 8.3741 2.5706 8.9239 5.1945 7.0534" Properties=species:S:1:pos:R:3 pbc="T T T"
Zn 17.1866 8.5014 6.0300
Zn 7.6911 6.0753 2.6155
Zn 12.3500 8.6913 6.1647
Sm 19.0502 11.0888 7.8652
Cu 4.4620 4.1870 1.2853
Zn 20.4556 13.5053 9.5792
Zn 15.8800 10.7461 6.0300
Zn 13.6566 6.4467 6.1647
Cu 5.8444 1.8121 1.2853
Zn 21.8455 11.1174 9.5792
Zn 13.6566 7.9493 4.0462
Zn 9.0811 3.6875 2.6155
Zn 21.8455 12.7159 7.3256
Ru 0.0000 0.0000 0.0000
Zn 7.6911 4.4769 4.8691
Sm 10.4864 6.1039 4.3295
Zn 15.8800 9.2435 8.1484
Cu 4.4620 2.5972 3.5267
```